Computed, not measured: a relaxed LaNd6Dy crystal at the PBE level of DFT.

Cell lengths 5.192, 5.192, 10.400 Å; angles 90.00, 90.00, 90.00 degrees
Positions (direct):
Nd: 0.500 0.500 0.000
Nd: 0.000 0.500 0.254
Nd: 0.500 0.500 0.500
Nd: 0.500 0.000 0.746
Nd: 0.500 0.000 0.254
Nd: 0.000 0.500 0.746
Dy: 0.000 0.000 0.500
La: 0.000 0.000 0.000

Values from the calculation:
- energy of formation from the pure elements (eV per atom) = 0.02
- space group = No. 123
- total DFT energy (no corrections) (eV per atom) = -4.75

---

Computed, not measured: a relaxed CoMo2Os3 crystal at the PBE level of DFT.

Cell lengths 4.373, 5.488, 7.258 Å; angles 100.98, 90.00, 90.00 degrees
Positions (direct):
Os: 0.750 0.034 0.616
Os: 0.750 0.856 0.946
Os: 0.750 0.524 0.617
Os: 0.250 0.144 0.054
Os: 0.250 0.476 0.383
Os: 0.250 0.966 0.384
Mo: 0.750 0.690 0.269
Mo: 0.250 0.310 0.731
Mo: 0.750 0.193 0.274
Mo: 0.250 0.807 0.726
Co: 0.250 0.629 0.057
Co: 0.750 0.371 0.943

Values from the calculation:
- energy of formation from the pure elements (eV per atom) = 0.04
- space group = No. 11
- total DFT energy (no corrections) (eV per atom) = -10.37

---

Computed, not measured: a relaxed SrPaI2 crystal at the PBE level of DFT.

Cell lengths 3.949, 3.949, 11.327 Å; angles 79.96, 79.96, 60.00 degrees
Positions (direct):
Sr: 0.500 0.500 0.500
I: 0.095 0.095 0.714
I: 0.905 0.905 0.286
Pa: 0.000 0.000 0.000

Values from the calculation:
- space group = No. 166
- formation energy without anion corrections (eV per atom) = -0.31
- total DFT energy (no corrections) (eV per atom) = -3.88

---

Computed, not measured: a relaxed TbHoCuPd crystal at the PBE level of DFT.

Cell lengths 3.726, 4.551, 5.535 Å; angles 90.00, 109.67, 90.00 degrees
Positions (direct):
Cu: 0.421 0.000 0.842
Pd: 0.578 0.500 0.156
Ho: 0.862 0.500 0.723
Tb: 0.139 0.000 0.278

Values from the calculation:
- energy of formation from the pure elements (eV per atom) = -0.60
- space group = No. 38
- offset from the most stable computed form (eV per atom) = 0.000
- total DFT energy (no corrections) (eV per atom) = -5.22

---

Computed, not measured: a relaxed Ta2InTeC crystal at the PBE level of DFT.

Cell lengths 4.405, 4.768, 4.405 Å; angles 90.00, 90.00, 90.00 degrees
Positions (direct):
Ta: 0.500 0.000 0.000
Ta: 0.000 0.000 0.500
Te: 0.500 0.500 0.500
In: 0.000 0.500 0.000
C: 0.000 0.000 0.000

Values from the calculation:
- space group = No. 123
- offset from the most stable computed form (eV per atom) = 0.000
- formation energy without anion corrections (eV per atom) = 0.62
- total DFT energy (no corrections) (eV per atom) = -7.14

---

Computed, not measured: a relaxed Y2MgRhPb crystal at the PBE level of DFT.

Cell lengths 5.294, 5.294, 4.996 Å; angles 90.00, 90.00, 90.00 degrees
Positions (direct):
Y: 0.500 0.000 0.000
Y: 0.000 0.500 0.000
Mg: 0.000 0.000 0.500
Pb: 0.500 0.500 0.500
Rh: 0.000 0.000 0.000

Values from the calculation:
- energy of formation from the pure elements (eV per atom) = -0.39
- space group = No. 123
- total DFT energy (no corrections) (eV per atom) = -5.50

---

Computed, not measured: a relaxed LiZrBe crystal at the PBE level of DFT.

Cell lengths 6.222, 6.222, 2.907 Å; angles 76.50, 76.49, 27.02 degrees
Positions (direct):
Zr: 0.642 0.642 0.358
Be: 0.996 0.996 0.004
Li: 0.362 0.362 0.638

Values from the calculation:
- energy of formation from the pure elements (eV per atom) = 0.20
- space group = No. 107
- offset from the most stable computed form (eV per atom) = 0.167
- total DFT energy (no corrections) (eV per atom) = -4.53

---

Computed, not measured: a relaxed HoMg3Pb4 crystal at the PBE level of DFT.

Cell lengths 3.964, 5.112, 10.486 Å; angles 90.00, 90.00, 90.00 degrees
Positions (direct):
Pb: 0.000 0.000 0.500
Pb: 0.000 0.000 0.000
Pb: 0.000 0.500 0.260
Pb: 0.000 0.500 0.740
Mg: 0.500 0.000 0.249
Mg: 0.500 0.500 0.500
Mg: 0.500 0.000 0.751
Ho: 0.500 0.500 0.000

Values from the calculation:
- energy of formation from the pure elements (eV per atom) = -0.16
- space group = No. 47
- total DFT energy (no corrections) (eV per atom) = -3.18

---

Computed, not measured: a relaxed PuU3Pa2P6 crystal at the PBE level of DFT.

Cell lengths 6.803, 6.803, 6.927 Å; angles 99.43, 99.43, 120.02 degrees
Positions (direct):
P: 0.751 0.751 0.253
P: 0.916 0.582 0.747
P: 0.418 0.084 0.253
P: 0.582 0.916 0.747
P: 0.249 0.249 0.747
P: 0.084 0.418 0.253
Pa: 0.667 0.333 0.000
Pa: 0.333 0.667 0.000
Pu: 0.000 0.000 0.000
U: 0.834 0.166 0.500
U: 0.166 0.834 0.500
U: 0.500 0.500 0.500

Values from the calculation:
- energy of formation from the pure elements (eV per atom) = -1.12
- space group = No. 12
- total DFT energy (no corrections) (eV per atom) = -9.42

---

Computed, not measured: a relaxed AcHo2Al crystal at the PBE level of DFT.

Cell lengths 5.495, 5.495, 5.495 Å; angles 60.00, 60.00, 60.00 degrees
Positions (direct):
Ac: 0.000 0.000 0.000
Al: 0.500 0.500 0.500
Ho: 0.250 0.250 0.250
Ho: 0.750 0.750 0.750

Values from the calculation:
- energy of formation from the pure elements (eV per atom) = 0.10
- space group = No. 225
- offset from the most stable computed form (eV per atom) = 0.248
- total DFT energy (no corrections) (eV per atom) = -4.16

---

Computed, not measured: a relaxed NaHfSn3 crystal at the PBE level of DFT.

Cell lengths 5.554, 5.554, 5.554 Å; angles 90.00, 90.00, 90.00 degrees
Positions (direct):
Sn: 0.000 0.000 0.500
Sn: 0.000 0.500 0.000
Sn: 0.500 0.000 0.000
Hf: 0.000 0.000 0.000
Na: 0.500 0.500 0.500

Values from the calculation:
- energy of formation from the pure elements (eV per atom) = 0.09
- space group = No. 221
- offset from the most stable computed form (eV per atom) = 0.000
- total DFT energy (no corrections) (eV per atom) = -4.57

---

Computed, not measured: a relaxed Re2PtW crystal at the PBE level of DFT.

Cell lengths 4.801, 4.801, 4.801 Å; angles 131.34, 131.34, 71.27 degrees
Positions (direct):
Re: 0.250 0.750 0.500
Re: 0.000 0.000 0.000
W: 0.500 0.500 0.000
Pt: 0.750 0.250 0.500

Values from the calculation:
- energy of formation from the pure elements (eV per atom) = -0.09
- space group = No. 119
- offset from the most stable computed form (eV per atom) = 0.018
- total DFT energy (no corrections) (eV per atom) = -11.06